Record 1
Computed, not measured: crystalline Nd3Pt2Au3 at its relaxed geometry at the PBE level of DFT.

Its density of states at the Fermi level is 4.25 states/eV/f.u. The formation energy comes out at -905 meV per atom. The space-group type is No. 63.

Cell: 4.082 5.669 17.416 Å, 90.00 90.00 111.10°
Positions (direct):
Au 0.367 0.734 0.528
Au 0.633 0.266 0.472
Au 0.607 0.214 0.750
Au 0.367 0.734 0.972
Au 0.393 0.786 0.250
Au 0.633 0.266 0.028
Nd 0.670 0.341 0.250
Nd 0.066 0.132 0.604
Nd 0.330 0.659 0.750
Nd 0.066 0.132 0.896
Nd 0.934 0.868 0.104
Nd 0.934 0.868 0.396
Pt 0.775 0.551 0.624
Pt 0.225 0.449 0.376
Pt 0.225 0.449 0.124
Pt 0.775 0.551 0.876


Record 2
Computed, not measured: crystalline Nd8Pt2Au at its relaxed geometry at the PBE level of DFT.

Its density of states at the Fermi level is 14.49 states/eV/f.u. The formation energy comes out at -454 meV per atom. The space-group type is No. 8.

Cell: 6.041 8.043 8.043 Å, 114.75 99.34 99.34°
Positions (direct):
Pt 0.490 0.701 0.305
Pt 0.490 0.305 0.701
Nd 0.990 0.774 0.225
Nd 0.804 0.631 0.631
Nd 0.177 0.380 0.380
Nd 0.387 0.664 0.916
Nd 0.990 0.225 0.774
Nd 0.580 0.343 0.089
Nd 0.580 0.089 0.343
Nd 0.387 0.916 0.664
Au 0.127 0.005 0.005


Number 1: calculated total energy -0.399 Ry/atom, M_tot 0.00 μB per formula unit. Number 2: calculated total energy -0.391 Ry/atom, M_tot 0.00 μB per formula unit.